# CeY3Fe (PBE, optimized geometry)
data_CeY3Fe
_cell_length_a 3.601
_cell_length_b 14.336
_cell_length_c 10.522
_cell_angle_alpha 90.00
_cell_angle_beta 90.00
_cell_angle_gamma 90.00
_space_group_name_H-M_alt 'C m c m'
_space_group_IT_number 63
_space_group_name_Hall '-C 2c 2'
loop_
_atom_site_label
_atom_site_type_symbol
_atom_site_fract_x
_atom_site_fract_y
_atom_site_fract_z
_atom_site_occupancy
Ce1 Ce 0.000 0.205 0.250 1
Y1 Y 0.000 0.011 0.750 1
Y2 Y 0.000 0.364 0.015 1
Fe1 Fe 0.000 0.200 0.750 1
# * magnetic moment: 0.0 μB per formula unit
# * density of states at the Fermi level: 23.389 states/eV per cell
# * excess energy over the best structure of this formula in the dataset: 0 meV per atom
# * E_form: 0.04 eV/atom